Entry 1:
# PBE KFeCo2, optimized geometry
data_KFeCo2
_chemical_formula_sum 'K2 Fe2 Co4'
_cell_length_a 8.7622
_cell_length_b 8.7622
_cell_length_c 8.7622
_cell_angle_alpha 148.61
_cell_angle_beta 148.61
_cell_angle_gamma 44.99
_symmetry_space_group_name_H-M 'P 1'
_symmetry_Int_Tables_number 1
loop_
_symmetry_equiv_pos_as_xyz
'x,y,z'
loop_
_atom_site_label
_atom_site_type_symbol
_atom_site_fract_x
_atom_site_fract_y
_atom_site_fract_z
_atom_site_occupancy
K1 K 0.3750 0.6250 0.7500 1
K2 K 0.6250 0.3750 0.2500 1
Fe1 Fe 0.1250 0.8750 0.2500 1
Fe2 Fe 0.8750 0.1250 0.7500 1
Co1 Co 0.0000 0.0000 0.0000 1
Co2 Co 0.0000 0.0000 0.5000 1
Co3 Co 0.0000 0.5000 0.0000 1
Co4 Co 0.5000 0.0000 0.5000 1
# formation energy: 1.068 eV per atom
# density of states at the Fermi level: 1.224 states/eV per atom
# volume: 22.7 Å³ per atom

Entry 2:
# PBE AlPdPb3, optimized geometry
data_AlPdPb3
_chemical_formula_sum 'Al1 Pd1 Pb3'
_cell_length_a 5.3402
_cell_length_b 5.3402
_cell_length_c 5.3402
_cell_angle_alpha 90.00
_cell_angle_beta 90.00
_cell_angle_gamma 90.00
_symmetry_space_group_name_H-M 'P 1'
_symmetry_Int_Tables_number 1
loop_
_symmetry_equiv_pos_as_xyz
'x,y,z'
loop_
_atom_site_label
_atom_site_type_symbol
_atom_site_fract_x
_atom_site_fract_y
_atom_site_fract_z
_atom_site_occupancy
Al1 Al 0.0000 0.0000 0.0000 1
Pd1 Pd 0.5000 0.5000 0.5000 1
Pb1 Pb 0.0000 0.0000 0.5000 1
Pb2 Pb 0.0000 0.5000 0.0000 1
Pb3 Pb 0.5000 0.0000 0.0000 1
# formation energy: 0.595 eV per atom
# density of states at the Fermi level: 0.433 states/eV per atom
# volume: 30.5 Å³ per atom

Entry 3:
# PBE Ce3P4, optimized geometry
data_Ce3P4
_chemical_formula_sum 'Ce6 P8'
_cell_length_a 7.3193
_cell_length_b 7.3193
_cell_length_c 7.3193
_cell_angle_alpha 109.47
_cell_angle_beta 109.47
_cell_angle_gamma 109.47
_symmetry_space_group_name_H-M 'P 1'
_symmetry_Int_Tables_number 1
loop_
_symmetry_equiv_pos_as_xyz
'x,y,z'
loop_
_atom_site_label
_atom_site_type_symbol
_atom_site_fract_x
_atom_site_fract_y
_atom_site_fract_z
_atom_site_occupancy
Ce1 Ce 0.1250 0.8750 0.2500 1
Ce2 Ce 0.2500 0.1250 0.8750 1
Ce3 Ce 0.3750 0.6250 0.7500 1
Ce4 Ce 0.6250 0.7500 0.3750 1
Ce5 Ce 0.7500 0.3750 0.6250 1
Ce6 Ce 0.8750 0.2500 0.1250 1
P1 P 0.0000 0.1586 0.5000 1
P2 P 0.0000 0.6586 0.5000 1
P3 P 0.1586 0.5000 0.0000 1
P4 P 0.3414 0.3414 0.3414 1
P5 P 0.5000 0.0000 0.1586 1
P6 P 0.5000 0.0000 0.6586 1
P7 P 0.6586 0.5000 0.0000 1
P8 P 0.8414 0.8414 0.8414 1
# formation energy: -1.294 eV per atom
# density of states at the Fermi level: 0.080 states/eV per atom
# volume: 21.6 Å³ per atom